Here is crystalline CeSm2Hg8 at its relaxed geometry from Alexandria. Energies are from PBE-GGA.

Structure (POSCAR):
```
CeSm2Hg8
1.0
-2.610 3.672 7.527
2.610 -3.672 7.527
2.610 3.672 -7.527
Ce Sm Hg
1 2 8
direct
0.000 0.000 0.000 Ce
0.311 0.311 0.000 Sm
0.689 0.689 0.000 Sm
0.134 0.849 0.286 Hg
0.157 0.657 0.500 Hg
0.290 0.500 0.790 Hg
0.437 0.151 0.286 Hg
0.563 0.849 0.714 Hg
0.710 0.500 0.210 Hg
0.843 0.343 0.500 Hg
0.866 0.151 0.714 Hg
```

Summary:
**Space group**: Immm, No. 71
**Relative energy among the computed polymorphs**: 13 meV/atom
**V**: 26.24 Å³/atom
**Density of states at the Fermi level**: 12.28 states/eV per cell



Here is crystalline CeSm6Hg2 at its relaxed geometry from Alexandria. Energies are from PBE-GGA.

Structure (POSCAR):
```
CeSm6Hg2
1.0
6.413 -1.883 0.000
6.413 1.883 0.000
-3.687 0.000 11.578
Ce Sm Hg
1 6 2
direct
0.000 0.000 0.000 Ce
0.022 0.022 0.340 Sm
0.312 0.312 0.413 Sm
0.318 0.318 0.123 Sm
0.682 0.682 0.877 Sm
0.688 0.688 0.587 Sm
0.978 0.978 0.660 Sm
0.353 0.353 0.795 Hg
0.647 0.647 0.205 Hg
```

Summary:
**Space group**: C2/m, No. 12
**V**: 31.07 Å³/atom
**Density of states at the Fermi level**: 14.47 states/eV per cell
**Total DFT energy (no corrections)**: -4.04 eV/atom



Here is crystalline CeSmHg at its relaxed geometry from Alexandria. Energies are from PBE-GGA.

Structure (POSCAR):
```
CeSmHg
1.0
1.783 -8.636 0.000
1.783 8.636 0.000
0.000 0.000 5.398
Ce Sm Hg
2 2 2
direct
0.248 0.752 0.750 Ce
0.752 0.248 0.250 Ce
0.073 0.927 0.250 Sm
0.927 0.073 0.750 Sm
0.406 0.594 0.250 Hg
0.594 0.406 0.750 Hg
```

Summary:
**Space group**: Cmcm, No. 63
**Relative energy among the computed polymorphs**: 0 meV/atom
**V**: 27.71 Å³/atom
**Density of states at the Fermi level**: 12.19 states/eV per cell



Here is crystalline CeSm5Hg4 at its relaxed geometry from Alexandria. Energies are from PBE-GGA.

Structure (POSCAR):
```
CeSm5Hg4
1.0
3.739 0.000 0.000
0.000 3.739 0.000
0.000 0.000 20.056
Ce Sm Hg
1 5 4
direct
0.000 0.000 0.000 Ce
0.500 0.500 0.113 Sm
0.500 0.500 0.307 Sm
0.500 0.500 0.500 Sm
0.500 0.500 0.693 Sm
0.500 0.500 0.887 Sm
0.000 0.000 0.208 Hg
0.000 0.000 0.404 Hg
0.000 0.000 0.596 Hg
0.000 0.000 0.792 Hg
```

Summary:
**Space group**: P4/mmm, No. 123
**V**: 28.04 Å³/atom
**Density of states at the Fermi level**: 12.69 states/eV per cell
**Total DFT energy (no corrections)**: -3.43 eV/atom



Here is crystalline CeSmHg at its relaxed geometry from Alexandria. Energies are from PBE-GGA.

Structure (POSCAR):
```
CeSmHg
1.0
-1.619 1.619 8.381
1.619 -1.619 8.381
1.619 1.619 -8.381
Ce Sm Hg
1 1 1
direct
0.000 0.000 0.000 Ce
0.827 0.827 0.000 Sm
0.643 0.643 0.000 Hg
```

Summary:
**Space group**: I4mm, No. 107
**Relative energy among the computed polymorphs**: 512 meV/atom
**V**: 29.27 Å³/atom
**Density of states at the Fermi level**: 6.28 states/eV per cell



Here is crystalline CeSm2Hg8 at its relaxed geometry from Alexandria. Energies are from PBE-GGA.

Structure (POSCAR):
```
CeSm2Hg8
1.0
8.079 -2.536 0.000
8.079 2.536 0.000
-2.539 0.000 6.892
Ce Sm Hg
1 2 8
direct
0.000 0.000 0.000 Ce
0.291 0.291 0.350 Sm
0.709 0.709 0.650 Sm
0.095 0.095 0.460 Hg
0.174 0.174 0.902 Hg
0.348 0.348 0.825 Hg
0.477 0.477 0.273 Hg
0.523 0.523 0.727 Hg
0.652 0.652 0.175 Hg
0.826 0.826 0.098 Hg
0.905 0.905 0.540 Hg
```

Summary:
**Space group**: C2/m, No. 12
**Relative energy among the computed polymorphs**: 0 meV/atom
**V**: 25.67 Å³/atom
**Density of states at the Fermi level**: 11.10 states/eV per cell



Here is crystalline CeSm2Hg5 at its relaxed geometry from Alexandria. Energies are from PBE-GGA.

Structure (POSCAR):
```
CeSm2Hg5
1.0
-2.657 2.657 7.466
2.657 -2.657 7.466
2.657 2.657 -7.466
Ce Sm Hg
1 2 5
direct
0.000 0.000 0.000 Ce
0.269 0.269 0.000 Sm
0.731 0.731 0.000 Sm
0.124 0.624 0.500 Hg
0.376 0.876 0.500 Hg
0.500 0.500 0.000 Hg
0.624 0.124 0.500 Hg
0.876 0.376 0.500 Hg
```

Summary:
**Space group**: I4/mmm, No. 139
**V**: 26.36 Å³/atom
**Density of states at the Fermi level**: 10.90 states/eV per cell
**Total DFT energy (no corrections)**: -2.51 eV/atom



Here is crystalline Ce2SmHg at its relaxed geometry from Alexandria. Energies are from PBE-GGA.

Structure (POSCAR):
```
Ce2SmHg
1.0
4.619 0.000 0.000
0.000 4.619 0.000
0.000 0.000 5.191
Ce Sm Hg
2 1 1
direct
0.000 0.500 0.000 Ce
0.500 0.000 0.000 Ce
0.000 0.000 0.500 Sm
0.500 0.500 0.500 Hg
```

Summary:
**Space group**: P4/mmm, No. 123
**Relative energy among the computed polymorphs**: 85 meV/atom
**V**: 27.69 Å³/atom
**Density of states at the Fermi level**: 11.76 states/eV per cell